A relaxed Sr2TaMo crystal. Source: Alexandria via LeMat-Bulk, functional PBE.

The energy above the most stable polymorph in this dataset is 0.719 eV/atom. Its total energy is -5.3197 eV per atom. The size of the total moment comes out at 0.00 μB per cell. The formation energy is 1.192 eV/atom.

The space group is C2/m (No. 12) and the conventional cell measures 5.9029, 11.0156 and 2.9882 Å, with angles of 90.00, 91.43 and 90.00 degrees. The inequivalent atoms are Sr at (0.2500, 0.2500, 0.0000), Ta at (0.0000, 0.0000, 0.5000) and Mo at (0.0000, 0.5000, 0.5000).